This record from Alexandria via LeMat-Bulk describes crystalline KMnSbF6 at its relaxed geometry. The functional is GGA+U.

```
KMnSbF6
1.0
5.977 0.000 0.000
-2.988 5.176 0.000
0.000 0.000 5.021
K Mn Sb F
1 1 1 6
direct
0.000 0.000 0.000
0.333 0.667 0.438
0.667 0.333 0.506
0.043 0.345 0.641
0.302 0.957 0.641
0.428 0.390 0.236
0.610 0.038 0.236
0.655 0.698 0.641
0.962 0.572 0.236
```

## Properties
symmetry = P3 (143)
energy = -5.23 eV per atom